First-principles (PBEsol) data for BeTl after structural relaxation, as listed in Alexandria via LeMat-Bulk.

Calculated values
* ΔE to the lowest computed polymorph: 302 meV/atom
* density: 9.762 Mg/m³
* energy of formation from the pure elements: 800 meV per atom
* SG: P4/mmm
* magnetic moment: 0.000 Bohr magnetons per cell

```
BeTl
1.0
-0.233 2.500 -1.841
-0.189 -1.854 -2.494
-3.728 -0.090 0.349
Be Tl
1 1
Direct
0.000 0.000 0.000
0.500 0.500 0.500
```